## Nd2Ni4C (PBE)

Data for a relaxed structure of Nd2Ni4C.

Cell: 8.222 8.222 8.222 Å, 152.80 152.80 38.84°
Sites, in units of the cell vectors:
Nd  0.162  0.162  0.000
Nd  0.838  0.838  0.000
Ni  0.000  0.500  0.500
Ni  0.379  0.379  0.000
Ni  0.500  0.000  0.500
Ni  0.621  0.621  0.000
C  0.500  0.500  0.000

total DFT energy (no corrections) = -6.1599 eV/atom

=====

## BeAuF3 (PBE)

Data for a relaxed structure of BeAuF3.

Cell: 3.733 3.733 3.733 Å, 90.00 90.00 90.00°
Sites, in units of the cell vectors:
Be  0.000  0.000  0.000
Au  0.500  0.500  0.500
F  0.000  0.000  0.500
F  0.000  0.500  0.000
F  0.500  0.000  0.000

formation energy (no corrections) = -1.6842 eV per atom
total DFT energy (no corrections) = -4.2077 eV/atom

=====

Magnetic moment: 0.00 0.00 (Bohr magnetons per cell)
Fermi-level density of states: 1.03 0.15 (states/eV per atom)